# 1
Material: NaNiPbCl6
Method: DFT, GGA-PBE
State: optimized geometry

abc: 6.6340 6.6340 6.0265
angles: 90.00 90.00 120.00
Closest atoms and distances in Å follow each position.
Fractional coordinates of all 9 atoms:
Na: 0.0000 0.0000 0.0000  6 Cl 2.74
Ni: 0.3333 0.6667 0.0000  6 Cl 2.33
Pb: 0.6667 0.3333 0.5000  6 Cl 2.90
Cl: 0.0475 0.3805 0.2258  1 Ni 2.33
Cl: 0.0475 0.6670 0.7742  1 Ni 2.33
Cl: 0.3330 0.3805 0.7742  1 Ni 2.33
Cl: 0.3330 0.9525 0.2258  1 Ni 2.33
Cl: 0.6195 0.6670 0.2258  1 Ni 2.33
Cl: 0.6195 0.9525 0.7742  1 Ni 2.33

Output
space group: P312
E_form (uncorrected): -0.931 eV/atom
E_tot: -3.363 eV/atom

=====

# 2
Material: NaPmNiCl6
Method: DFT, GGA-PBE
State: optimized geometry

abc: 6.6379 6.6379 12.4635
angles: 90.00 90.00 120.00
Closest atoms and distances in Å follow each position.
Fractional coordinates of all 18 atoms:
Na: 0.0000 0.0000 0.0000  6 Cl 2.91
Na: 0.0000 0.0000 0.5000  6 Cl 2.91
Pm: 0.3333 0.6667 0.2500  6 Cl 2.73
Pm: 0.6667 0.3333 0.7500  6 Cl 2.73
Ni: 0.3333 0.6667 0.7500  6 Cl 2.44
Ni: 0.6667 0.3333 0.2500  6 Cl 2.44
Cl: 0.0342 0.3734 0.6345  1 Ni 2.44, 1 Pm 2.73
Cl: 0.0342 0.6607 0.8655  1 Ni 2.44, 1 Pm 2.73
Cl: 0.3393 0.3734 0.8655  1 Ni 2.44, 1 Pm 2.73
Cl: 0.3393 0.9658 0.6345  1 Ni 2.44, 1 Pm 2.73
Cl: 0.3734 0.0342 0.1345  1 Ni 2.44, 1 Pm 2.73
Cl: 0.3734 0.3393 0.3655  1 Ni 2.44, 1 Pm 2.73
Cl: 0.6266 0.6607 0.6345  1 Ni 2.44, 1 Pm 2.73
Cl: 0.6266 0.9658 0.8655  1 Ni 2.44, 1 Pm 2.73
Cl: 0.6607 0.0342 0.3655  1 Ni 2.44, 1 Pm 2.73
Cl: 0.6607 0.6266 0.1345  1 Ni 2.44, 1 Pm 2.73
Cl: 0.9658 0.3393 0.1345  1 Ni 2.44, 1 Pm 2.73
Cl: 0.9658 0.6266 0.3655  1 Ni 2.44, 1 Pm 2.73

Output
space group: P-31c
E_form (uncorrected): -1.573 eV/atom
E_tot: -4.121 eV/atom

=====

# 3
Material: NaPuNiCl6
Method: DFT, GGA-PBE
State: optimized geometry

abc: 6.5981 6.5981 12.5020
angles: 90.00 90.00 120.00
Closest atoms and distances in Å follow each position.
Fractional coordinates of all 18 atoms:
Na: 0.0000 0.0000 0.0000  6 Cl 2.89
Na: 0.0000 0.0000 0.5000  6 Cl 2.89
Pu: 0.3333 0.6667 0.2500  6 Cl 2.69
Pu: 0.6667 0.3333 0.7500  6 Cl 2.69
Ni: 0.3333 0.6667 0.7500  6 Cl 2.45
Ni: 0.6667 0.3333 0.2500  6 Cl 2.45
Cl: 0.0294 0.3690 0.6357  1 Ni 2.45, 1 Pu 2.69
Cl: 0.0294 0.6603 0.8643  1 Ni 2.45, 1 Pu 2.69
Cl: 0.3397 0.3690 0.8643  1 Ni 2.45, 1 Pu 2.69
Cl: 0.3397 0.9706 0.6357  1 Ni 2.45, 1 Pu 2.69
Cl: 0.3690 0.0294 0.1357  1 Ni 2.45, 1 Pu 2.69
Cl: 0.3690 0.3397 0.3643  1 Ni 2.45, 1 Pu 2.69
Cl: 0.6310 0.6603 0.6357  1 Ni 2.45, 1 Pu 2.69
Cl: 0.6310 0.9706 0.8643  1 Ni 2.45, 1 Pu 2.69
Cl: 0.6603 0.0294 0.3643  1 Ni 2.45, 1 Pu 2.69
Cl: 0.6603 0.6310 0.1357  1 Ni 2.45, 1 Pu 2.69
Cl: 0.9706 0.3397 0.1357  1 Ni 2.45, 1 Pu 2.69
Cl: 0.9706 0.6310 0.3643  1 Ni 2.45, 1 Pu 2.69

Output
space group: P-31c
E_form (uncorrected): -1.421 eV/atom
E_tot: -5.034 eV/atom

=====

# 4
Material: RbNaNi2Cl8
Method: DFT, GGA-PBE
State: optimized geometry

abc: 10.1913 10.1913 10.1913
angles: 37.25 37.25 37.25
Closest atoms and distances in Å follow each position.
Fractional coordinates of all 12 atoms:
Rb: 0.0000 0.0000 0.0000  12 Cl 3.68-3.76
Na: 0.5000 0.5000 0.5000  6 Cl 2.90
Ni: 0.2509 0.2509 0.2509  4 Cl 2.17
Ni: 0.7491 0.7491 0.7491  4 Cl 2.17
Cl: 0.0792 0.4453 0.7929  1 Ni 2.17
Cl: 0.2071 0.9208 0.5547  1 Ni 2.17
Cl: 0.3271 0.3271 0.3271  1 Ni 2.17
Cl: 0.4453 0.7929 0.0792  1 Ni 2.17
Cl: 0.5547 0.2071 0.9208  1 Ni 2.17
Cl: 0.6729 0.6729 0.6729  1 Ni 2.17
Cl: 0.7929 0.0792 0.4453  1 Ni 2.17
Cl: 0.9208 0.5547 0.2071  1 Ni 2.17

Output
space group: R-3
E_form (uncorrected): -0.905 eV/atom
E_tot: -3.290 eV/atom

=====

# 5
Material: RbNaNi2Cl
Method: DFT, GGA-PBE
State: optimized geometry

abc: 5.0320 5.0320 5.7835
angles: 90.00 90.00 90.00
Closest atoms and distances in Å follow each position.
Fractional coordinates of all 5 atoms:
Rb: 0.0000 0.0000 0.0000  4 Cl 3.56, 8 Ni 3.83
Na: 0.5000 0.5000 0.5000  4 Ni 2.52
Ni: 0.0000 0.5000 0.5000  2 Na 2.52
Ni: 0.5000 0.0000 0.5000  2 Na 2.52
Cl: 0.5000 0.5000 0.0000  2 Na 2.89

Output
space group: P4/mmm
E_form (uncorrected): 0.600 eV/atom
E_tot: -2.539 eV/atom

=====

# 6
Material: Rb3NaNi2Cl9
Method: DFT, GGA-PBE
State: optimized geometry

abc: 7.0568 7.0568 8.7947
angles: 90.00 90.00 120.00
Closest atoms and distances in Å follow each position.
Fractional coordinates of all 15 atoms:
Rb: 0.0000 0.0000 0.0000  12 Cl 3.49-3.53
Rb: 0.3333 0.6667 0.6700  12 Cl 3.54-3.69
Rb: 0.6667 0.3333 0.3300  12 Cl 3.54-3.69
Na: 0.0000 0.0000 0.5000  6 Cl 2.74
Ni: 0.3333 0.6667 0.1628  6 Cl 2.30-2.49
Ni: 0.6667 0.3333 0.8372  6 Cl 2.30-2.49
Cl: 0.0000 0.5000 0.0000  2 Ni 2.49
Cl: 0.1779 0.3558 0.3100  1 Ni 2.30
Cl: 0.1779 0.8221 0.3100  1 Ni 2.30
Cl: 0.3558 0.1779 0.6900  1 Ni 2.30
Cl: 0.5000 0.0000 0.0000  2 Ni 2.49
Cl: 0.5000 0.5000 0.0000  2 Ni 2.49
Cl: 0.6442 0.8221 0.3100  1 Ni 2.30
Cl: 0.8221 0.1779 0.6900  1 Ni 2.30
Cl: 0.8221 0.6442 0.6900  1 Ni 2.30

Output
space group: P-3m1
E_form (uncorrected): -1.241 eV/atom
E_tot: -3.401 eV/atom

=====

# 7
Material: NaNi2RhCl
Method: DFT, GGA-PBE
State: optimized geometry

abc: 4.2162 4.2162 4.5285
angles: 90.00 90.00 90.00
Closest atoms and distances in Å follow each position.
Fractional coordinates of all 5 atoms:
Na: 0.0000 0.0000 0.0000  4 Rh 2.98, 8 Ni 3.09
Ni: 0.0000 0.5000 0.5000  2 Cl 2.11
Ni: 0.5000 0.0000 0.5000  2 Cl 2.11
Rh: 0.5000 0.5000 0.0000  2 Cl 2.26
Cl: 0.5000 0.5000 0.5000  4 Ni 2.11, 2 Rh 2.26

Output
space group: P4/mmm
E_form (uncorrected): 0.501 eV/atom
E_tot: -3.915 eV/atom

=====

# 8
Material: NaNiSCl2
Method: DFT, GGA-PBE
State: optimized geometry

abc: 4.9549 4.9549 5.2125
angles: 90.00 90.00 90.00
Closest atoms and distances in Å follow each position.
Fractional coordinates of all 5 atoms:
Na: 0.0000 0.0000 0.0000  4 Cl 2.48, 2 S 2.61
Ni: 0.5000 0.5000 0.5000  4 S 3.50, 8 Cl 3.60
S: 0.0000 0.0000 0.5000  2 Na 2.61
Cl: 0.0000 0.5000 0.0000  2 Na 2.48
Cl: 0.5000 0.0000 0.0000  2 Na 2.48

Output
space group: P4/mmm
E_form (uncorrected): 0.486 eV/atom
E_tot: -2.498 eV/atom

=====

Question: Among the records above, which one has the lowest E_form (uncorrected)?
Answer: NaPmNiCl6

=====

Question: Which of these has the lowest E_form (uncorrected)?
Answer: NaPmNiCl6

=====

What did the fourth record say?
Material: RbNaNi2Cl8
Method: DFT, GGA-PBE
State: optimized geometry

abc: 10.1913 10.1913 10.1913
angles: 37.25 37.25 37.25
Closest atoms and distances in Å follow each position.
Fractional coordinates of all 12 atoms:
Rb: 0.0000 0.0000 0.0000  12 Cl 3.68-3.76
Na: 0.5000 0.5000 0.5000  6 Cl 2.90
Ni: 0.2509 0.2509 0.2509  4 Cl 2.17
Ni: 0.7491 0.7491 0.7491  4 Cl 2.17
Cl: 0.0792 0.4453 0.7929  1 Ni 2.17
Cl: 0.2071 0.9208 0.5547  1 Ni 2.17
Cl: 0.3271 0.3271 0.3271  1 Ni 2.17
Cl: 0.4453 0.7929 0.0792  1 Ni 2.17
Cl: 0.5547 0.2071 0.9208  1 Ni 2.17
Cl: 0.6729 0.6729 0.6729  1 Ni 2.17
Cl: 0.7929 0.0792 0.4453  1 Ni 2.17
Cl: 0.9208 0.5547 0.2071  1 Ni 2.17

Output
space group: R-3
E_form (uncorrected): -0.905 eV/atom
E_tot: -3.290 eV/atom

=====

Question: Among the records above, which one has the lowest E_tot?
Answer: NaPuNiCl6